[1]
Density functional theory data (PBE) for an optimized crystal structure of Tl2Bi2Pd.

ρ (g/cm³): 10.28
Space group: Cmcm, No. 63

Cell lengths 7.890, 7.890, 6.280 Å; angles 90.00, 90.00, 129.55 degrees
Fractional coordinates of all 10 atoms:
Bi (0.365, 0.133, 0.250)
Bi (0.867, 0.635, 0.250)
Bi (0.133, 0.365, 0.750)
Bi (0.635, 0.867, 0.750)
Pd (0.000, 0.000, 0.000)
Pd (0.000, 0.000, 0.500)
Tl (0.826, 0.174, 0.250)
Tl (0.404, 0.596, 0.250)
Tl (0.596, 0.404, 0.750)
Tl (0.174, 0.826, 0.750)

[2]
Density functional theory data (PBE) for an optimized crystal structure of Pr2Pa2Se7.

ρ (g/cm³): 7.58
Space group: Imm2, No. 44

Cell lengths 9.036, 9.036, 9.036 Å; angles 153.53, 67.37, 119.31 degrees
Last column: magnetic moment on the atom in μB.
Fractional coordinates of all 11 atoms:
Pa (0.218, 0.218, 0.000)  0.82
Pa (0.666, 0.166, 0.500)  0.88
Pr (0.675, 0.413, 0.262)  0.01
Pr (0.150, 0.413, 0.738)  0.01
Se (0.848, 0.716, 0.132)  -0.02
Se (0.295, 0.116, 0.179)  -0.01
Se (0.288, 0.893, 0.394)  -0.03
Se (0.987, 0.487, 0.500)  -0.03
Se (0.499, 0.893, 0.606)  -0.03
Se (0.937, 0.116, 0.821)  -0.01
Se (0.584, 0.716, 0.868)  -0.02

[3]
Density functional theory data (PBE) for an optimized crystal structure of Pr2Co7.

ΔH_f (0 K) (eV per atom): -0.01
ρ (g/cm³): 8.58
Energy relative to the lowest polymorph listed for this composition (meV per atom): 0
Space group: R-3m, No. 166

Cell lengths 5.047, 5.047, 12.522 Å; angles 78.37, 101.63, 120.00 degrees
Last column: magnetic moment on the atom in μB.
Fractional coordinates of all 18 atoms:
Co (0.500, 0.000, 0.000)  1.51
Co (0.000, 0.500, 0.000)  1.43
Co (0.500, 0.500, 0.000)  1.47
Co (0.387, 0.613, 0.161)  1.53
Co (0.721, 0.279, 0.164)  1.49
Co (0.112, 0.395, 0.323)  1.20
Co (0.605, 0.395, 0.323)  1.26
Co (0.605, 0.888, 0.323)  1.32
Co (0.500, 0.500, 0.500)  1.11
Co (0.395, 0.112, 0.677)  1.32
Co (0.395, 0.605, 0.677)  1.26
Co (0.888, 0.605, 0.677)  1.20
Co (0.279, 0.721, 0.836)  1.49
Co (0.613, 0.387, 0.839)  1.53
Pr (0.051, 0.949, 0.154)  -0.22
Pr (0.148, 0.852, 0.445)  -0.25
Pr (0.852, 0.148, 0.555)  -0.25
Pr (0.949, 0.051, 0.846)  -0.22

[4]
Density functional theory data (PBE) for an optimized crystal structure of Lu2TcPd.

ΔH_f (0 K) (eV per atom): 0.01
ρ (g/cm³): 11.99
Space group: F-43m, No. 216

Cell lengths 4.771, 4.771, 4.771 Å; angles 60.00, 60.00, 60.00 degrees
Last column: magnetic moment on the atom in μB.
Fractional coordinates of all 4 atoms:
Lu (0.500, 0.500, 0.500)  0.01
Lu (0.750, 0.750, 0.750)  -0.08
Pd (0.000, 0.000, 0.000)  0.10
Tc (0.250, 0.250, 0.250)  0.53

no.,DFT total energy (Ry/atom)
1,-0.270
2,-0.471
3,-0.485
4,-0.451